1.
! Sr2TeP (PBE, optimized geometry); values from VASP
&SYSTEM
  ibrav = 0, nat = 4, ntyp = 3
/
ATOMIC_SPECIES
Sr 87.62 Sr.upf
Te 127.60 Te.upf
P 30.97 P.upf
CELL_PARAMETERS angstrom
3.7012 -4.0653 0.0000
3.7012 4.0653 0.0000
0.0000 0.0000 3.9822
ATOMIC_POSITIONS crystal
Sr 0.0000 0.5000 0.0000
Sr 0.5000 0.0000 0.0000
Te 0.5000 0.5000 0.5000
P 0.0000 0.0000 0.5000
! raw formation energy: -1.016 eV per atom
! energy above the most stable polymorph in this dataset: 149 meV/atom
! symmetry: Cmmm

***

2.
! SrTeP2 (PBE, optimized geometry); values from VASP
&SYSTEM
  ibrav = 0, nat = 4, ntyp = 3
/
ATOMIC_SPECIES
P 30.97 P.upf
Sr 87.62 Sr.upf
Te 127.60 Te.upf
CELL_PARAMETERS angstrom
4.2433 0.0000 0.0000
0.0000 4.6590 0.0002
0.0000 2.3241 5.5419
ATOMIC_POSITIONS crystal
P 0.0000 0.1441 0.0853
P 0.5000 0.0689 0.2376
Sr 0.0000 0.4444 0.4865
Te 0.5000 0.8427 0.6906
! raw formation energy: -0.491 eV per atom
! symmetry: Amm2

***

3.
! Sr2TeP (PBE, optimized geometry); values from VASP
&SYSTEM
  ibrav = 0, nat = 4, ntyp = 3
/
ATOMIC_SPECIES
Sr 87.62 Sr.upf
Te 127.60 Te.upf
P 30.97 P.upf
CELL_PARAMETERS angstrom
3.9715 0.0000 0.0000
0.0000 3.9688 -0.1192
0.0000 0.3287 7.5683
ATOMIC_POSITIONS crystal
Sr 0.0000 0.0070 0.7314
Sr 0.0000 0.9930 0.2686
Te 0.5000 0.5000 0.0000
P 0.5000 0.5000 0.5000
! raw formation energy: -1.051 eV per atom
! energy above the most stable polymorph in this dataset: 114 meV/atom
! symmetry: P2/m

***

4.
! SrTeP3 (PBE, optimized geometry); values from VASP
&SYSTEM
  ibrav = 0, nat = 5, ntyp = 3
/
ATOMIC_SPECIES
Sr 87.62 Sr.upf
Te 127.60 Te.upf
P 30.97 P.upf
CELL_PARAMETERS angstrom
-5.0632 0.3909 0.8142
-0.2069 -5.0152 1.1208
0.8792 1.0706 4.9530
ATOMIC_POSITIONS crystal
Sr 0.5000 0.5000 0.5000
Te 0.0000 0.0000 0.0000
P 0.0000 0.5000 0.0000
P 0.0000 0.0000 0.5000
P 0.5000 0.0000 0.0000
! raw formation energy: 0.358 eV per atom
! energy above the most stable polymorph in this dataset: 0 meV/atom
! symmetry: Pm-3m

***

5.
! SrTeP2 (PBE, optimized geometry); values from VASP
&SYSTEM
  ibrav = 0, nat = 4, ntyp = 3
/
ATOMIC_SPECIES
P 30.97 P.upf
Sr 87.62 Sr.upf
Te 127.60 Te.upf
CELL_PARAMETERS angstrom
4.0447 0.0000 0.0000
0.0000 4.0447 0.0000
0.0000 0.0000 6.2028
ATOMIC_POSITIONS crystal
P 0.0000 0.0000 0.0639
P 0.5000 0.5000 0.1582
Sr 0.0000 0.0000 0.5256
Te 0.5000 0.5000 0.7523
! raw formation energy: -0.087 eV per atom
! symmetry: P4mm

***

6.
! Sr2TeP (PBE, optimized geometry); values from VASP
&SYSTEM
  ibrav = 0, nat = 8, ntyp = 3
/
ATOMIC_SPECIES
Sr 87.62 Sr.upf
Te 127.60 Te.upf
P 30.97 P.upf
CELL_PARAMETERS angstrom
-3.6659 -7.2754 2.0482
3.1321 0.6094 7.7707
-3.3904 -1.4464 6.0205
ATOMIC_POSITIONS crystal
Sr 0.5920 0.1250 0.2500
Sr 0.1580 0.6250 0.2500
Sr 0.3750 0.4080 0.7500
Sr 0.8750 0.8420 0.7500
Te 0.0000 0.0000 0.0000
Te 0.7500 0.2500 0.5000
P 0.5000 0.5000 0.0000
P 0.2500 0.7500 0.5000
! raw formation energy: -0.993 eV per atom
! energy above the most stable polymorph in this dataset: 171 meV/atom
! symmetry: I-42d

***

7.
! SrTeP4 (PBE, optimized geometry); values from VASP
&SYSTEM
  ibrav = 0, nat = 6, ntyp = 3
/
ATOMIC_SPECIES
Sr 87.62 Sr.upf
Te 127.60 Te.upf
P 30.97 P.upf
CELL_PARAMETERS angstrom
-3.4252 -0.1615 4.9592
-1.3327 5.1089 2.9110
-5.6214 2.1748 -0.1467
ATOMIC_POSITIONS crystal
Sr 0.7500 0.7500 0.7500
Te 0.0000 0.0000 0.0000
P 0.9741 0.3420 0.3420
P 0.3420 0.3420 0.9741
P 0.3420 0.9741 0.3420
P 0.3420 0.3420 0.3420
! raw formation energy: -0.242 eV per atom
! symmetry: F-43m

***

8.
! Sr2TeP2 (PBE, optimized geometry); values from VASP
&SYSTEM
  ibrav = 0, nat = 5, ntyp = 3
/
ATOMIC_SPECIES
Sr 87.62 Sr.upf
Te 127.60 Te.upf
P 30.97 P.upf
CELL_PARAMETERS angstrom
5.7760 0.0000 0.0000
0.0000 5.7760 0.0000
2.8880 2.8880 4.5513
ATOMIC_POSITIONS crystal
Sr 0.7500 0.2500 0.5000
Sr 0.2500 0.7500 0.5000
Te 0.0000 0.0000 0.0000
P 0.3866 0.3866 0.2268
P 0.6134 0.6134 0.7732
! raw formation energy: -0.807 eV per atom
! energy above the most stable polymorph in this dataset: 96 meV/atom
! symmetry: I4/mmm

***

9.
! SrTl2TeP (PBE, optimized geometry); values from VASP
&SYSTEM
  ibrav = 0, nat = 5, ntyp = 4
/
ATOMIC_SPECIES
Sr 87.62 Sr.upf
Tl 204.38 Tl.upf
Te 127.60 Te.upf
P 30.97 P.upf
CELL_PARAMETERS angstrom
-1.7537 5.4908 0.9650
-5.1690 -1.7330 0.4670
0.7743 -0.7620 5.7424
ATOMIC_POSITIONS crystal
Sr 0.5000 0.5000 0.5000
Tl 0.0000 0.0000 0.5000
Tl 0.5000 0.0000 0.0000
Te 0.0000 0.0000 0.0000
P 0.0000 0.5000 0.0000
! raw formation energy: 0.242 eV per atom
! symmetry: P4/mmm

***

10.
! SrTlTeP2 (PBE, optimized geometry); values from VASP
&SYSTEM
  ibrav = 0, nat = 5, ntyp = 4
/
ATOMIC_SPECIES
Sr 87.62 Sr.upf
Tl 204.38 Tl.upf
Te 127.60 Te.upf
P 30.97 P.upf
CELL_PARAMETERS angstrom
-3.8376 -3.1947 2.3177
2.4194 -5.0630 -2.9729
3.3435 -0.9136 4.2769
ATOMIC_POSITIONS crystal
Sr 0.0000 0.0000 0.0000
Tl 0.0000 0.5000 0.0000
Te 0.5000 0.5000 0.5000
P 0.0000 0.0000 0.5000
P 0.5000 0.0000 0.0000
! raw formation energy: 0.921 eV per atom
! symmetry: P4/mmm

***

11.
! SrVTeP2 (PBE, optimized geometry); values from VASP
&SYSTEM
  ibrav = 0, nat = 5, ntyp = 4
/
ATOMIC_SPECIES
Sr 87.62 Sr.upf
Te 127.60 Te.upf
P 30.97 P.upf
V 50.94 V.upf
CELL_PARAMETERS angstrom
5.3133 0.0000 0.0000
0.0000 6.0248 0.0000
0.0000 0.0000 5.3133
ATOMIC_POSITIONS crystal
Sr 0.0000 0.0000 0.0000
Te 0.0000 0.5000 0.0000
P 0.0000 0.0000 0.5000
P 0.5000 0.0000 0.0000
V 0.5000 0.5000 0.5000
! raw formation energy: 1.567 eV per atom
! symmetry: P4/mmm

***

12.
! SrThP2 (PBE, optimized geometry); values from VASP
&SYSTEM
  ibrav = 0, nat = 4, ntyp = 3
/
ATOMIC_SPECIES
Sr 87.62 Sr.upf
Th 232.04 Th.upf
P 30.97 P.upf
CELL_PARAMETERS angstrom
-2.5799 3.3197 0.4165
-3.0270 -0.0338 2.9471
2.7374 4.0773 5.8866
ATOMIC_POSITIONS crystal
Sr 0.4970 0.4970 0.5089
Th 0.6680 0.6680 0.9959
P 0.0748 0.0748 0.7756
P 0.2602 0.2602 0.2195
! energy of formation: -1.2898 eV per atom
! energy above the most stable polymorph in this dataset: 102 meV/atom
! symmetry: R3m

***

Number 1: V 120 Å³ per cell. Number 2: V 110 Å³ per cell. Number 3: V 119 Å³ per cell. Number 4: V 136 Å³ per cell. Number 5: V 101 Å³ per cell. Number 6: V 269 Å³ per cell. Number 7: V 155 Å³ per cell. Number 8: V 152 Å³ per cell. Number 9: V 187 Å³ per cell. Number 10: V 192 Å³ per cell. Number 11: V 170 Å³ per cell. Number 12: V 112 Å³ per cell.